{"formula": "Li2CoAs2Pd", "functional": "GGA-PBE", "state": "optimized geometry", "total_magnetization_mub_per_atom": 0.23, "dos_ef_per_ev_cell": 7.673, "e_form_kj_per_mol_atoms": -49.0, "vol_a3_per_cell": 191.0, "lattice_angstrom": [[5.6114, 0.0000, 0.0000], [0.0000, 5.5830, 0.0000], [-2.8057, -2.7915, 6.0969]], "species": ["Li", "Li", "Li", "Li", "Co", "Co", "As", "As", "As", "As", "Pd", "Pd"], "fractional_positions": [[0.3996, 0.1622, 0.3244], [0.6004, 0.8378, 0.6756], [0.0752, 0.3378, 0.6756], [0.9248, 0.6622, 0.3244], [0.5000, 0.7500, 0.0000], [0.5000, 0.2500, 0.0000], [0.8355, 0.1201, 0.2402], [0.4046, 0.6201, 0.2402], [0.5954, 0.3799, 0.7598], [0.1645, 0.8799, 0.7598], [0.0000, 0.7500, 0.0000], [0.0000, 0.2500, 0.0000]]}